Compound: PuNbMoO6
Source: Alexandria
Functional: GGA+U
Structure: optimized geometry

Calculated values
- magnetic moment (Bohr magnetons per cell) = 14.000
- symmetry = P-31c
- N(E_F) (states/eV/cell) = 4.424
- VASP energy (eV/atom) = -9.25

Unit cell a=5.3457 b=5.3457 c=9.7881 alpha=90.00 beta=90.00 gamma=120.00
Last column: nearest neighbours and their distance in Å.
Fractional coordinates of all 18 atoms:
Pu (0.0000, 0.0000, 0.0000)  6 O 2.27
Pu (0.0000, 0.0000, 0.5000)  6 O 2.27
Nb (0.3333, 0.6667, 0.2500)  6 O 2.03
Nb (0.6667, 0.3333, 0.7500)  6 O 2.03
Mo (0.3333, 0.6667, 0.7500)  6 O 2.14
Mo (0.6667, 0.3333, 0.2500)  6 O 2.14
O (0.0162, 0.3516, 0.1354)  1 Nb 2.03, 1 Mo 2.14, 1 Pu 2.27
O (0.0162, 0.6646, 0.3646)  1 Nb 2.03, 1 Mo 2.14, 1 Pu 2.27
O (0.3354, 0.3516, 0.3646)  1 Nb 2.03, 1 Mo 2.14, 1 Pu 2.27
O (0.3354, 0.9838, 0.1354)  1 Nb 2.03, 1 Mo 2.14, 1 Pu 2.27
O (0.3516, 0.0162, 0.6354)  1 Nb 2.03, 1 Mo 2.14, 1 Pu 2.27
O (0.3516, 0.3354, 0.8646)  1 Nb 2.03, 1 Mo 2.14, 1 Pu 2.27
O (0.6484, 0.6646, 0.1354)  1 Nb 2.03, 1 Mo 2.14, 1 Pu 2.27
O (0.6484, 0.9838, 0.3646)  1 Nb 2.03, 1 Mo 2.14, 1 Pu 2.27
O (0.6646, 0.0162, 0.8646)  1 Nb 2.03, 1 Mo 2.14, 1 Pu 2.27
O (0.6646, 0.6484, 0.6354)  1 Nb 2.03, 1 Mo 2.14, 1 Pu 2.27
O (0.9838, 0.3354, 0.6354)  1 Nb 2.03, 1 Mo 2.14, 1 Pu 2.27
O (0.9838, 0.6484, 0.8646)  1 Nb 2.03, 1 Mo 2.14, 1 Pu 2.27